This record from Alexandria via LeMat-Bulk describes a geometry-optimized KNpZnF6 structure. The functional is PBE-GGA.

## Properties
Formation energy without anion corrections   -2.89 eV/atom
DFT total energy   -5.843 eV per atom
DOS at the Fermi energy   8.2 states/eV/cell

Cell: 5.9633 5.9633 10.6617 Å, 90.00 90.00 120.00°
Space group P-31c (No. 163)
Symmetry-distinct sites (fractional):
K (0.0000, 0.0000, 0.0000) (multiplicity 2)
Np (0.3333, 0.6667, 0.2500) (multiplicity 2)
Zn (0.3333, 0.6667, 0.7500) (multiplicity 2)
F (0.0272, 0.3873, 0.6437) (multiplicity 12)


This record from Alexandria via LeMat-Bulk describes a geometry-optimized MnCu4Pd5 structure. The functional is PBE-GGA.

## Properties
E above lowest polymorph   0.000 eV per formula unit
DFT total energy   -5.308 eV per atom
Energy of formation from the pure elements   -0.156 eV per atom
DOS at the Fermi energy   4.7 states/eV/cell

Cell: 3.0624 3.0624 14.9513 Å, 90.00 90.00 90.00°
Space group P4/mmm (No. 123)
Symmetry-distinct sites (fractional):
Mn (0.0000, 0.0000, 0.0000) (multiplicity 1)
Cu (0.0000, 0.0000, 0.2053) (multiplicity 2)
Cu (0.0000, 0.0000, 0.4016) (multiplicity 2)
Pd (0.5000, 0.5000, 0.1040) (multiplicity 2)
Pd (0.5000, 0.5000, 0.3023) (multiplicity 2)
Pd (0.5000, 0.5000, 0.5000) (multiplicity 1)


This record from Alexandria via LeMat-Bulk describes a geometry-optimized KGaGe structure. The functional is PBE-GGA.

## Properties
DFT total energy   -3.035 eV per atom
Energy of formation from the pure elements   -0.121 eV per atom
DOS at the Fermi energy   1.3 states/eV/cell

Cell: 4.2855 6.0564 6.9593 Å, 97.86 104.58 106.31°
Space group P-1 (No. 2)
Symmetry-distinct sites (fractional):
K (0.2450, 0.2856, 0.1414) (multiplicity 2)
Ga (0.0278, 0.7063, 0.4489) (multiplicity 2)
Ge (0.4527, 0.1165, 0.6750) (multiplicity 2)


This record from Alexandria via LeMat-Bulk describes a geometry-optimized SrGa4Pd2Ru structure. The functional is PBE-GGA.

## Properties
DFT total energy   -4.715 eV per atom
Energy of formation from the pure elements   -0.534 eV per atom
DOS at the Fermi energy   10.0 states/eV/cell

Cell: 4.2854 4.2854 28.1420 Å, 90.00 90.00 120.00°
Space group R-3m (No. 166, hexagonal axes)
Symmetry-distinct sites (fractional):
Sr (0.0000, 0.0000, 0.0000) (multiplicity 3)
Ga (0.0000, 0.0000, 0.1356) (multiplicity 6)
Ga (0.0000, 0.0000, 0.4068) (multiplicity 6)
Pd (0.0000, 0.0000, 0.2321) (multiplicity 6)
Ru (0.0000, 0.0000, 0.5000) (multiplicity 3)


This record from Alexandria via LeMat-Bulk describes a geometry-optimized LaThPbAu structure. The functional is PBE-GGA.

## Properties
DFT total energy   -5.297 eV per atom
Energy of formation from the pure elements   -0.464 eV per atom
DOS at the Fermi energy   23.0 states/eV/cell

Cell: 7.7297 7.7297 7.7297 Å, 90.00 90.00 90.00°
Space group F-43m (No. 216)
Symmetry-distinct sites (fractional):
La (0.0000, 0.0000, 0.0000) (multiplicity 4)
Th (0.0000, 0.0000, 0.5000) (multiplicity 4)
Pb (0.2500, 0.2500, 0.2500) (multiplicity 4)
Au (0.2500, 0.2500, 0.7500) (multiplicity 4)


This record from Alexandria via LeMat-Bulk describes a geometry-optimized NaCa2Pb2 structure. The functional is PBE-GGA.

## Properties
E above lowest polymorph   0.794 eV per formula unit
DFT total energy   -2.792 eV per atom
Energy of formation from the pure elements   -0.245 eV per atom
DOS at the Fermi energy   4.7 states/eV/cell

Cell: 5.4883 5.4883 6.5995 Å, 90.00 90.00 120.00°
Space group P-3m1 (No. 164)
Symmetry-distinct sites (fractional):
Na (0.0000, 0.0000, 0.0000) (multiplicity 1)
Ca (0.3333, 0.6667, 0.6794) (multiplicity 2)
Pb (0.3333, 0.6667, 0.1767) (multiplicity 2)


This record from Alexandria via LeMat-Bulk describes a geometry-optimized TmGa4CoNi2 structure. The functional is PBE-GGA.

## Properties
DFT total energy   -4.837 eV per atom
Energy of formation from the pure elements   -0.431 eV per atom
DOS at the Fermi energy   16.4 states/eV/cell

Cell: 4.0579 4.0579 25.5036 Å, 90.00 90.00 120.00°
Space group R-3m (No. 166, hexagonal axes)
Symmetry-distinct sites (fractional):
Tm (0.0000, 0.0000, 0.0000) (multiplicity 3)
Ga (0.0000, 0.0000, 0.1328) (multiplicity 6)
Ga (0.0000, 0.0000, 0.4024) (multiplicity 6)
Co (0.0000, 0.0000, 0.5000) (multiplicity 3)
Ni (0.0000, 0.0000, 0.2330) (multiplicity 6)


This record from Alexandria via LeMat-Bulk describes a geometry-optimized Rb4ICl2F structure. The functional is PBE-GGA.

## Properties
Formation energy without anion corrections   -1.94 eV/atom
DFT total energy   -3.309 eV per atom
DOS at the Fermi energy   0.0 states/eV/cell

Cell: 13.5209 13.5663 9.4674 Å, 90.00 134.40 90.00°
Space group C2/c (No. 15)
Symmetry-distinct sites (fractional):
Rb (0.0006, 0.2406, 0.0104) (multiplicity 8)
Rb (0.2319, 0.0433, 0.9819) (multiplicity 8)
I (0.0000, 0.5000, 0.0000) (multiplicity 4)
Cl (0.0000, 0.0000, 0.0000) (multiplicity 4)
Cl (0.2500, 0.2500, 0.5000) (multiplicity 4)
F (0.2500, 0.2500, 0.0000) (multiplicity 4)


This record from Alexandria via LeMat-Bulk describes a geometry-optimized Ba8ZnPt2 structure. The functional is PBE-GGA.

## Properties
DFT total energy   -2.818 eV per atom
Energy of formation from the pure elements   -0.206 eV per atom
DOS at the Fermi energy   11.3 states/eV/cell

Cell: 10.2635 10.2635 6.6247 Å, 90.00 90.00 120.00°
Space group P-3 (No. 147)
Symmetry-distinct sites (fractional):
Ba (0.1637, 0.3291, 0.2471) (multiplicity 6)
Ba (0.3333, 0.6667, 0.7478) (multiplicity 2)
Zn (0.0000, 0.0000, 0.5000) (multiplicity 1)
Pt (0.3333, 0.6667, 0.2494) (multiplicity 2)


This record from Alexandria via LeMat-Bulk describes a geometry-optimized ZnTc structure. The functional is PBE-GGA.

## Properties
E above lowest polymorph   3.865 eV per formula unit
DFT total energy   -3.928 eV per atom
Energy of formation from the pure elements   1.892 eV per atom
DOS at the Fermi energy   9.0 states/eV/cell

Cell: 5.6625 5.6625 5.6625 Å, 90.00 90.00 90.00°
Space group F-43m (No. 216)
Symmetry-distinct sites (fractional):
Zn (0.0000, 0.0000, 0.0000) (multiplicity 4)
Tc (0.2500, 0.2500, 0.7500) (multiplicity 4)


This record from Alexandria via LeMat-Bulk describes a geometry-optimized Tb7TmSc3 structure. The functional is PBE-GGA.

## Properties
E above lowest polymorph   0.758 eV per formula unit
DFT total energy   -4.863 eV per atom
Energy of formation from the pure elements   0.217 eV per atom
DOS at the Fermi energy   17.7 states/eV/cell

Cell: 6.9510 6.9510 8.2423 Å, 90.00 90.00 120.00°
Space group P3m1 (No. 156)
Symmetry-distinct sites (fractional):
Tb (0.0000, 0.0000, 0.0000) (multiplicity 1)
Tb (0.0023, 0.5012, 0.0136) (multiplicity 3)
Tb (0.3311, 0.1655, 0.6565) (multiplicity 3)
Tm (0.3333, 0.6667, 0.6692) (multiplicity 1)
Sc (0.1673, 0.3346, 0.3359) (multiplicity 3)


This record from Alexandria via LeMat-Bulk describes a geometry-optimized LiCr3Mo structure. The functional is PBE-GGA.

## Properties
E above lowest polymorph   0.238 eV per formula unit
DFT total energy   -6.987 eV per atom
Energy of formation from the pure elements   1.336 eV per atom
DOS at the Fermi energy   8.3 states/eV/cell

Cell: 3.9740 3.9740 3.9740 Å, 90.00 90.00 90.00°
Space group Pm-3m (No. 221)
Symmetry-distinct sites (fractional):
Li (0.0000, 0.0000, 0.0000) (multiplicity 1)
Cr (0.0000, 0.0000, 0.5000) (multiplicity 3)
Mo (0.5000, 0.5000, 0.5000) (multiplicity 1)


Q: Number 3 is which compound?
A: KGaGe


Q: Number 4 is which compound?
A: SrGa4Pd2Ru


Q: The lowest DOS at the Fermi energy belongs to which entry?
A: Rb4ICl2F


Q: Which formula does entry 12 have?
A: LiCr3Mo